The following is a PBE calculation of a relaxed Sc2TlNi2 crystal, from Alexandria via LeMat-Bulk.

The structure in POSCAR format:
```
Sc2TlNi2
1.0
-0.4691 -2.8281 -1.8561
3.3823 -0.4229 -0.2103
1.3230 -6.1047 5.8254
Sc Ni Tl
2 2 1
Direct
0.6289 0.6289 0.7421
0.3711 0.3711 0.2579
0.2500 0.7500 0.5000
0.7500 0.2500 0.5000
0.0000 0.0000 0.0000
```

Properties
DFT formation energy   -0.218 eV/atom


The following is a PBE calculation of a relaxed Ca2CrHg crystal, from Alexandria via LeMat-Bulk.

The structure in POSCAR format:
```
Ca2CrHg
1.0
5.2079 0.0000 0.0000
2.6040 4.5102 0.0000
2.6040 1.5034 4.2523
Hg Ca Cr
1 2 1
Direct
0.7500 0.7500 0.7500
0.2500 0.2500 0.2500
0.0000 0.0000 0.0000
0.5000 0.5000 0.5000
```

Properties
DFT formation energy   0.179 eV/atom


The following is a PBE calculation of a relaxed CaPt2Rh crystal, from Alexandria via LeMat-Bulk.

The structure in POSCAR format:
```
CaPt2Rh
1.0
-1.6443 2.2781 0.7547
-2.3763 -1.6737 -0.1240
0.9479 -1.9307 7.8935
Ca Pt Rh
1 2 1
Direct
0.5000 0.5000 0.7488
0.0000 0.0000 0.0184
0.5000 0.5000 0.2570
0.0000 0.0000 0.4759
```

Properties
DFT formation energy   -0.158 eV/atom


The following is a PBE calculation of a relaxed Cr2RhW crystal, from Alexandria via LeMat-Bulk.

The structure in POSCAR format:
```
Cr2RhW
1.0
-0.1974 1.1366 -4.1361
2.3147 -2.1282 -2.9242
-1.9567 -2.5593 -2.8388
W Cr Rh
1 2 1
Direct
0.2500 0.2500 0.2500
0.7500 0.7500 0.7500
0.0000 0.0000 0.0000
0.5000 0.5000 0.5000
```

Properties
DFT formation energy   0.156 eV/atom


The following is a PBE calculation of a relaxed Pu5Ga3Sb12 crystal, from Alexandria via LeMat-Bulk.

The structure in POSCAR format:
```
Pu5Ga3Sb12
1.0
-4.9930 2.5887 -14.2050
-0.6415 -14.9718 2.9743
-8.8017 7.5499 9.9470
Sb Pu Ga
48 20 12
Direct
0.1735 0.0444 0.9288
0.3844 0.4556 0.1291
0.7448 0.6291 0.1735
0.9556 0.8265 0.5712
0.8844 0.2552 0.4288
0.6291 0.7448 0.6735
0.1291 0.9556 0.3844
0.5712 0.2448 0.1156
0.3265 0.5712 0.4556
0.6735 0.4288 0.5444
0.0444 0.1735 0.4288
0.2448 0.5712 0.6156
0.4556 0.3844 0.6291
0.7552 0.3265 0.8709
0.0444 0.8709 0.1156
0.6156 0.0712 0.2448
0.7552 0.4288 0.3844
0.7448 0.1156 0.0712
0.8709 0.8265 0.7552
0.2552 0.3709 0.8265
0.1156 0.3709 0.0444
0.9288 0.3844 0.2552
0.1156 0.7448 0.5712
0.4288 0.6735 0.0444
0.1291 0.1735 0.2448
0.3844 0.9288 0.7552
0.8709 0.0444 0.6156
0.1735 0.1291 0.7448
0.6156 0.5444 0.8709
0.8844 0.6291 0.9556
0.8265 0.9556 0.0712
0.0712 0.6156 0.7448
0.3265 0.7552 0.3709
0.2448 0.6735 0.1291
0.0712 0.4556 0.8265
0.5444 0.6156 0.3709
0.6291 0.8844 0.4556
0.2552 0.8844 0.9288
0.6735 0.2448 0.6291
0.9556 0.1291 0.8844
0.5712 0.3265 0.9556
0.8265 0.8709 0.2552
0.5444 0.9288 0.6735
0.4288 0.7552 0.8844
0.3709 0.1156 0.5444
0.9288 0.5444 0.1735
0.4556 0.0712 0.3265
0.3709 0.2552 0.3265
0.3750 0.2500 0.1250
0.1250 0.3750 0.2500
0.0000 0.5000 0.0000
0.3750 0.1250 0.7500
0.1250 0.7500 0.3750
0.0000 0.0000 0.5000
0.5000 0.0000 0.0000
0.8750 0.2500 0.6250
0.0000 0.5000 0.5000
0.5000 0.0000 0.5000
0.5000 0.5000 0.0000
0.7500 0.6250 0.3750
0.5000 0.5000 0.5000
0.2500 0.8750 0.1250
0.7500 0.1250 0.8750
0.6250 0.7500 0.8750
0.8750 0.6250 0.7500
0.2500 0.3750 0.6250
0.6250 0.8750 0.2500
0.0000 0.0000 0.0000
0.7500 0.8750 0.6250
0.1250 0.2500 0.8750
0.2500 0.6250 0.8750
0.8750 0.7500 0.1250
0.3750 0.7500 0.6250
0.7500 0.3750 0.1250
0.3750 0.6250 0.2500
0.2500 0.1250 0.3750
0.1250 0.8750 0.7500
0.8750 0.1250 0.2500
0.6250 0.3750 0.7500
0.6250 0.2500 0.3750
```

Properties
E_form (uncorrected)   0.151 eV/atom


The following is a PBE calculation of a relaxed ZrTc3 crystal, from Alexandria via LeMat-Bulk.

The structure in POSCAR format:
```
ZrTc3
1.0
-1.4241 -8.1661 -4.8812
0.0405 -1.0767 2.6017
-2.3519 -0.0298 1.5482
Zr Tc
1 3
Direct
0.2500 0.7500 0.7500
0.5233 0.5078 0.5078
0.9767 0.9922 0.9922
0.7500 0.2500 0.2500
```

Properties
DFT formation energy   0.189 eV/atom


The following is a PBE calculation of a relaxed Na2Sn2Sb crystal, from Alexandria via LeMat-Bulk.

The structure in POSCAR format:
```
Na2Sn2Sb
1.0
-4.2725 -3.6783 0.6942
4.9640 -1.4676 -0.4652
-0.4826 2.7091 11.3840
Na Sn Sb
4 4 2
Direct
0.3885 0.7693 0.8317
0.6115 0.2307 0.1683
0.6192 0.2307 0.6683
0.3808 0.7693 0.3317
0.1804 0.3598 0.5257
0.1793 0.3598 0.0257
0.8207 0.6402 0.9743
0.8196 0.6402 0.4743
0.9948 0.0000 0.2500
0.0052 0.0000 0.7500
```

Properties
E_form (uncorrected)   -0.182 eV/atom


The following is a PBE calculation of a relaxed Cd4FeRh crystal, from Alexandria via LeMat-Bulk.

The structure in POSCAR format:
```
Cd4FeRh
1.0
4.5762 -2.2007 2.0197
-0.1721 -4.8663 2.4806
2.2219 -4.3741 -2.4072
Fe Rh Cd
1 1 4
Direct
0.7500 0.7500 0.7500
0.0000 0.0000 0.0000
0.3749 0.3749 0.8752
0.3749 0.3749 0.3749
0.8752 0.3749 0.3749
0.3749 0.8752 0.3749
```

Properties
DFT formation energy   0.464 eV/atom


The following is a PBE calculation of a relaxed Sm3In3CoHg2 crystal, from Alexandria via LeMat-Bulk.

The structure in POSCAR format:
```
Sm3In3CoHg2
1.0
-1.6198 -3.5394 -1.5121
6.4495 -3.8270 2.0488
-5.9287 0.5792 4.9953
Sm Co In Hg
3 1 3 2
Direct
0.0000 0.0000 0.3878
0.0000 0.6122 0.6122
0.0000 0.3878 0.0000
0.0000 0.0000 0.0000
0.5000 0.2355 0.2355
0.5000 0.7645 0.0000
0.5000 0.0000 0.7645
0.5000 0.3333 0.6667
0.5000 0.6667 0.3333
```

Properties
DFT formation energy   -0.423 eV/atom


The following is a PBE calculation of a relaxed BaSiSn crystal, from Alexandria via LeMat-Bulk.

The structure in POSCAR format:
```
BaSiSn
1.0
4.6079 -0.0371 -0.9308
-0.2378 4.9276 -1.3738
-0.7099 -0.3575 8.3853
Sn Si Ba
2 2 2
Direct
0.0489 0.2993 0.5986
0.9511 0.7007 0.4014
0.7800 0.5301 0.0603
0.2200 0.4699 0.9397
0.3665 0.1164 0.2328
0.6335 0.8836 0.7672
```

Properties
E_form (uncorrected)   -0.408 eV/atom


The following is a PBE calculation of a relaxed La2InCu crystal, from Alexandria via LeMat-Bulk.

The structure in POSCAR format:
```
La2InCu
1.0
-1.9633 -1.6587 5.8828
-3.1773 -4.2805 3.5772
3.0833 -3.5244 2.3843
Cu La In
1 2 1
Direct
0.5186 0.5186 0.4823
0.7862 0.7862 0.7134
0.9943 0.9943 0.0057
0.2009 0.2009 0.2987
```

Properties
DFT formation energy   -0.277 eV/atom


The following is a PBE calculation of a relaxed Ti2Be2ZnNi5 crystal, from Alexandria via LeMat-Bulk.

The structure in POSCAR format:
```
Ti2Be2ZnNi5
1.0
3.2210 0.0000 0.0000
0.0000 8.4604 0.0000
0.0000 0.0000 8.4604
Ti Zn Be Ni
4 2 4 10
Direct
0.0000 0.6777 0.1777
0.0000 0.3223 0.8223
0.0000 0.8223 0.6777
0.0000 0.1777 0.3223
0.0000 0.5000 0.5000
0.0000 0.0000 0.0000
0.0000 0.3827 0.1173
0.0000 0.6173 0.8827
0.0000 0.8827 0.3827
0.0000 0.1173 0.6173
0.5000 0.0693 0.7858
0.5000 0.2142 0.0693
0.5000 0.7142 0.4307
0.5000 0.2858 0.5693
0.5000 0.4307 0.2858
0.5000 0.5693 0.7142
0.5000 0.5000 0.0000
0.5000 0.9307 0.2142
0.5000 0.7858 0.9307
0.5000 0.0000 0.5000
```

Properties
DFT formation energy   -0.359 eV/atom


The following is a PBE calculation of a relaxed CsK8Rb5 crystal, from Alexandria via LeMat-Bulk.

The structure in POSCAR format:
```
CsK8Rb5
1.0
11.5972 -0.3018 0.5189
-4.2081 10.8110 -0.5189
-3.1811 -5.6156 9.6540
K Cs Rb
8 1 5
Direct
0.5987 0.9307 0.8441
0.6976 0.4054 0.9549
0.1559 0.7546 0.0865
0.9135 0.0693 0.6681
0.3319 0.2454 0.4013
0.0451 0.7427 0.4505
0.7078 0.2573 0.3024
0.5495 0.5946 0.2922
0.2500 0.5000 0.7500
0.7963 0.6443 0.7152
0.2848 0.0812 0.9291
0.5000 0.0000 0.5000
0.0709 0.3557 0.1520
0.8480 0.9188 0.2037
```

Properties
DFT formation energy   0.045 eV/atom


The following is a PBE calculation of a relaxed TaBeCo2 crystal, from Alexandria via LeMat-Bulk.

The structure in POSCAR format:
```
TaBeCo2
1.0
2.7296 0.0080 0.0000
-0.0086 2.7297 0.0000
0.0000 0.0000 6.3650
Ta Co Be
1 2 1
Direct
0.0000 0.0000 0.5182
0.0000 0.0000 0.9806
0.5000 0.5000 0.2036
0.5000 0.5000 0.7975
```

Properties
DFT formation energy   -0.052 eV/atom


The following is a PBE calculation of a relaxed Tl2SnBr3Cl crystal, from Alexandria via LeMat-Bulk.

The structure in POSCAR format:
```
Tl2SnBr3Cl
1.0
5.5456 0.0000 0.0000
0.0000 5.8268 0.0000
-2.7728 -2.9134 8.3778
Tl Br Cl Sn
2 3 1 1
Direct
0.3607 0.3607 0.7213
0.6394 0.6393 0.2787
0.8237 0.8237 0.6475
0.1763 0.1763 0.3525
0.0000 0.5000 0.0000
0.5000 0.0000 0.0000
0.0000 0.0000 0.0000
```

Properties
E_form (uncorrected)   -0.833 eV/atom


The following is a PBE calculation of a relaxed Sm2CuAg crystal, from Alexandria via LeMat-Bulk.

The structure in POSCAR format:
```
Sm2CuAg
1.0
-2.9102 0.7463 2.0324
1.9292 -0.6520 3.0017
1.9713 6.9981 0.2530
Sm Ag Cu
2 1 1
Direct
0.0000 0.0000 0.2362
0.0000 0.0000 0.7638
0.5000 0.5000 0.5000
0.5000 0.5000 0.0000
```

Properties
DFT formation energy   -0.230 eV/atom


The following is a PBE calculation of a relaxed Re3B2W3 crystal, from Alexandria via LeMat-Bulk.

The structure in POSCAR format:
```
Re3B2W3
1.0
-0.6601 2.6512 1.3794
-4.6958 -2.1307 -1.5475
-1.0083 -6.4984 12.0073
W B Re
6 4 6
Direct
0.7617 0.5234 0.2500
0.2383 0.4766 0.7500
0.0468 0.0935 0.9093
0.9532 0.9065 0.4093
0.0468 0.0935 0.5907
0.9532 0.9065 0.0907
0.3000 0.6000 0.1298
0.7000 0.4000 0.8702
0.7000 0.4000 0.6298
0.3000 0.6000 0.3702
0.6710 0.3421 0.0609
0.4966 0.9932 0.2500
0.3290 0.6579 0.9391
0.6710 0.3421 0.4391
0.3290 0.6579 0.5609
0.5034 0.0068 0.7500
```

Properties
DFT formation energy   0.020 eV/atom


The following is a PBE calculation of a relaxed Ce3GaGe6Pt2 crystal, from Alexandria via LeMat-Bulk.

The structure in POSCAR format:
```
Ce3GaGe6Pt2
1.0
5.9260 0.0000 0.0000
-2.9630 5.1320 0.0000
0.0000 0.0000 8.2779
Ce Ge Ga Pt
3 6 1 2
Direct
0.6667 0.3333 0.3656
0.0000 0.0000 0.0000
0.3333 0.6667 0.6344
0.1874 0.3749 0.2755
0.8126 0.1875 0.7245
0.8126 0.6251 0.7245
0.3749 0.1875 0.7245
0.6251 0.8125 0.2755
0.1874 0.8125 0.2755
0.0000 0.0000 0.5000
0.3333 0.6667 0.0106
0.6667 0.3333 0.9894
```

Properties
DFT formation energy   -0.391 eV/atom


The following is a PBE calculation of a relaxed LaPmGaRh crystal, from Alexandria via LeMat-Bulk.

The structure in POSCAR format:
```
LaPmGaRh
1.0
-0.2358 -0.2523 -5.1439
-4.1982 -1.9177 -2.2971
-3.1760 3.1268 -2.5914
Pm La Ga Rh
1 1 1 1
Direct
0.0000 0.0000 0.0000
0.5000 0.5000 0.5000
0.7500 0.7500 0.7500
0.2500 0.2500 0.2500
```

Properties
DFT formation energy   -0.548 eV/atom


The following is a PBE calculation of a relaxed TiMnCuPt crystal, from Alexandria via LeMat-Bulk.

The structure in POSCAR format:
```
TiMnCuPt
1.0
-1.9876 3.5528 -1.4207
-3.4926 1.4818 2.0488
0.2252 3.6536 2.2786
Pt Mn Cu Ti
1 1 1 1
Direct
0.5000 0.5000 0.5000
0.0000 0.0000 0.0000
0.7500 0.7500 0.7500
0.2500 0.2500 0.2500
```

Properties
DFT formation energy   -0.348 eV/atom


The following is a PBE calculation of a relaxed CaAcPu2Se4 crystal, from Alexandria via LeMat-Bulk.

The structure in POSCAR format:
```
CaAcPu2Se4
1.0
4.2493 0.0000 0.0000
0.0000 7.3978 -0.1677
0.0000 2.5965 6.8992
Pu Se Ca Ac
2 4 1 1
Direct
0.0000 0.0000 0.0000
0.5000 0.0000 0.5000
0.5000 0.7572 0.2562
0.0000 0.2356 0.2642
0.0000 0.7644 0.7358
0.5000 0.2428 0.7438
0.0000 0.5000 0.5000
0.5000 0.5000 0.0000
```

Properties
E_form (uncorrected)   -1.696 eV/atom


The following is a PBE calculation of a relaxed Pr2Al3Tc crystal, from Alexandria via LeMat-Bulk.

The structure in POSCAR format:
```
Pr2Al3Tc
1.0
1.0530 -0.5724 -5.5720
-0.8062 -4.6208 3.2375
-4.8349 2.0945 1.7858
Tc Al Pr
1 3 2
Direct
0.0000 0.0000 0.0000
0.0000 0.0000 0.5000
0.5000 0.0000 0.5000
0.5000 0.5000 0.5000
0.7463 0.3730 0.1193
0.2537 0.6270 0.8807
```

Properties
DFT formation energy   -0.365 eV/atom


| no. | volume (Å³ per cell) |
| --- | --- |
| 1 | 96 |
| 2 | 100 |
| 3 | 69 |
| 4 | 56 |
| 5 | 2745 |
| 6 | 65 |
| 7 | 282 |
| 8 | 115 |
| 9 | 219 |
| 10 | 185 |
| 11 | 108 |
| 12 | 231 |
| 13 | 1194 |
| 14 | 47 |
| 15 | 271 |
| 16 | 96 |
| 17 | 216 |
| 18 | 252 |
| 19 | 97 |
| 20 | 57 |
| 21 | 219 |
| 22 | 126 |